Run i
{
  "formula": "ThBeCo",
  "functional": "PBE",
  "state": "relaxed",
  "cell": [[0.6651, -3.9120, -1.5993], [-2.9800, -3.0348, 0.4616], [-2.2391, -1.3330, -3.3931]],
  "species": ["Co", "Be", "Th"],
  "fractional_positions": [[0.7500, 0.7500, 0.7500], [0.0000, 0.0000, 0.0000], [0.2500, 0.2500, 0.2500]],
  "volume_a3_per_atom": 18.458
}

Run ii
{
  "formula": "ThBeCo",
  "functional": "PBE",
  "state": "relaxed",
  "cell": [[2.2157, -3.7147, 0.3363], [-0.3748, -2.4336, 3.5720], [-2.0921, -3.7968, -0.1716]],
  "species": ["Co", "Th", "Be"],
  "fractional_positions": [[0.0000, 0.0000, 0.0000], [0.7500, 0.7500, 0.7500], [0.2500, 0.2500, 0.2500]],
  "volume_a3_per_atom": 19.246
}

Relative energies, kJ/mol of atoms: run i 20.0; run ii 0.0.